(1)
The following is a PBEsol calculation of an optimized crystal structure of Zr2TaCr, from the Alexandria database.

Calculated values
For the total energy, the calculation gives -9.972 eV/atom. As for the formation energy from the elements: 271 meV/atom. The density of states at the Fermi level comes out at 11.3 states/eV/cell. For the energy above the most stable polymorph in this dataset, the calculation gives 18 kJ/mol of formula units. The volume is 141.7 Å³/cell. The total magnetic moment comes out at 0.01 μB per cell.

The structure in CIF format:
```
data_Zr2TaCr
_chemical_formula_sum 'Zr4 Ta2 Cr2'
_cell_length_a 3.2777
_cell_length_b 4.8335
_cell_length_c 8.9451
_cell_angle_alpha 90.00
_cell_angle_beta 90.00
_cell_angle_gamma 90.00
_space_group_name_H-M_alt 'C m m m'
_space_group_IT_number 65
_space_group_name_Hall '-C 2 2'
loop_
_atom_site_label
_atom_site_type_symbol
_atom_site_fract_x
_atom_site_fract_y
_atom_site_fract_z
_atom_site_occupancy
Zr1 Zr 0.0000 0.0000 0.2224 1
Ta1 Ta 0.0000 0.5000 0.5000 1
Cr1 Cr 0.0000 0.5000 0.0000 1
```


(2)
The following is a PBEsol calculation of an optimized crystal structure of CrTc2, from the Alexandria database.

Calculated values
For the total energy, the calculation gives -10.779 eV/atom. As for the formation energy from the elements: 145 meV/atom. The density of states at the Fermi level comes out at 3.4 states/eV/cell. For the energy above the most stable polymorph in this dataset, the calculation gives 11 kJ/mol of formula units. The volume is 39.6 Å³/cell. The total magnetic moment comes out at 0.00 μB per cell.

The structure in CIF format:
```
data_CrTc2
_chemical_formula_sum 'Cr1 Tc2'
_cell_length_a 4.1669
_cell_length_b 4.1669
_cell_length_c 2.6313
_cell_angle_alpha 90.00
_cell_angle_beta 90.00
_cell_angle_gamma 120.00
_space_group_name_H-M_alt 'P -3 m 1'
_space_group_IT_number 164
_space_group_name_Hall '-P 3 2"'
loop_
_atom_site_label
_atom_site_type_symbol
_atom_site_fract_x
_atom_site_fract_y
_atom_site_fract_z
_atom_site_occupancy
Cr1 Cr 0.0000 0.0000 0.0000 1
Tc1 Tc 0.3333 0.6667 0.7077 1
```


(3)
The following is a PBEsol calculation of an optimized crystal structure of CrTc2, from the Alexandria database.

Calculated values
For the total energy, the calculation gives -10.817 eV/atom. As for the formation energy from the elements: 108 meV/atom. The density of states at the Fermi level comes out at 14.3 states/eV/cell. For the energy above the most stable polymorph in this dataset, the calculation gives 0 kJ/mol of formula units. The volume is 157.8 Å³/cell. The total magnetic moment comes out at 0.01 μB per cell.

The structure in CIF format:
```
data_CrTc2
_chemical_formula_sum 'Cr4 Tc8'
_cell_length_a 9.6034
_cell_length_b 2.8890
_cell_length_c 5.9352
_cell_angle_alpha 90.00
_cell_angle_beta 106.66
_cell_angle_gamma 90.00
_space_group_name_H-M_alt 'C 1 2/m 1'
_space_group_IT_number 12
_space_group_name_Hall '-C 2y'
loop_
_atom_site_label
_atom_site_type_symbol
_atom_site_fract_x
_atom_site_fract_y
_atom_site_fract_z
_atom_site_occupancy
Cr1 Cr 0.0246 0.0000 0.2706 1
Tc1 Tc 0.1509 0.5000 0.0529 1
Tc2 Tc 0.1620 0.5000 0.6007 1
```


(4)
The following is a PBEsol calculation of an optimized crystal structure of Cr5Tc, from the Alexandria database.

Calculated values
For the total energy, the calculation gives -10.375 eV/atom. As for the formation energy from the elements: 38 meV/atom. The density of states at the Fermi level comes out at 10.4 states/eV/cell. For the energy above the most stable polymorph in this dataset, the calculation gives 4 kJ/mol of formula units. The volume is 140.0 Å³/cell. The total magnetic moment comes out at 0.00 μB per cell.

The structure in CIF format:
```
data_Cr5Tc
_chemical_formula_sum 'Cr10 Tc2'
_cell_length_a 2.8586
_cell_length_b 12.0792
_cell_length_c 4.0536
_cell_angle_alpha 90.00
_cell_angle_beta 90.00
_cell_angle_gamma 90.00
_space_group_name_H-M_alt 'C m m m'
_space_group_IT_number 65
_space_group_name_Hall '-C 2 2'
loop_
_atom_site_label
_atom_site_type_symbol
_atom_site_fract_x
_atom_site_fract_y
_atom_site_fract_z
_atom_site_occupancy
Cr1 Cr 0.0000 0.0000 0.0000 1
Cr2 Cr 0.0000 0.1711 0.5000 1
Cr3 Cr 0.0000 0.3316 0.0000 1
Tc1 Tc 0.0000 0.5000 0.5000 1
```


(5)
The following is a PBEsol calculation of an optimized crystal structure of Cr5Tc, from the Alexandria database.

Calculated values
For the total energy, the calculation gives -10.382 eV/atom. As for the formation energy from the elements: 31 meV/atom. The density of states at the Fermi level comes out at 10.2 states/eV/cell. For the energy above the most stable polymorph in this dataset, the calculation gives 0 kJ/mol of formula units. The volume is 139.9 Å³/cell. The total magnetic moment comes out at 0.00 μB per cell.

The structure in CIF format:
```
data_Cr5Tc
_chemical_formula_sum 'Cr10 Tc2'
_cell_length_a 9.0413
_cell_length_b 2.8534
_cell_length_c 5.7161
_cell_angle_alpha 90.00
_cell_angle_beta 108.47
_cell_angle_gamma 90.00
_space_group_name_H-M_alt 'C 1 2/m 1'
_space_group_IT_number 12
_space_group_name_Hall '-C 2y'
loop_
_atom_site_label
_atom_site_type_symbol
_atom_site_fract_x
_atom_site_fract_y
_atom_site_fract_z
_atom_site_occupancy
Cr1 Cr 0.0000 0.0000 0.0000 1
Cr2 Cr 0.1693 0.5000 0.3277 1
Cr3 Cr 0.1701 0.5000 0.8410 1
Tc1 Tc 0.0000 0.0000 0.5000 1
```


(6)
The following is a PBEsol calculation of an optimized crystal structure of Cr4Tc3, from the Alexandria database.

Calculated values
For the total energy, the calculation gives -10.627 eV/atom. As for the formation energy from the elements: 54 meV/atom. The density of states at the Fermi level comes out at 14.0 states/eV/cell. The volume is 173.6 Å³/cell. The total magnetic moment comes out at 0.00 μB per cell.

The structure in CIF format:
```
data_Cr4Tc3
_chemical_formula_sum 'Cr8 Tc6'
_cell_length_a 2.8757
_cell_length_b 2.8757
_cell_length_c 20.9930
_cell_angle_alpha 90.00
_cell_angle_beta 90.00
_cell_angle_gamma 90.00
_space_group_name_H-M_alt 'I 4/m m m'
_space_group_IT_number 139
_space_group_name_Hall '-I 4 2'
loop_
_atom_site_label
_atom_site_type_symbol
_atom_site_fract_x
_atom_site_fract_y
_atom_site_fract_z
_atom_site_occupancy
Cr1 Cr 0.0000 0.0000 0.0739 1
Cr2 Cr 0.0000 0.0000 0.3645 1
Tc1 Tc 0.0000 0.0000 0.2084 1
Tc2 Tc 0.0000 0.0000 0.5000 1
```